(1)
{"formula": "MgBe2B", "functional": "GGA-PBE", "state": "relaxed", "magnetic_moment_mub_per_cell": 0.00, "relative_energy_mev_per_atom": 73, "formation_energy_mev_per_atom": 92, "dft_energy_ha_per_atom": -0.1411, "spacegroup": "P2_1/m", "cell": [[-5.486, 0.313, 0.920], [0.179, -2.346, 1.865], [2.911, 3.309, 3.884]], "species": ["B", "B", "Be", "Be", "Be", "Be", "Mg", "Mg"], "frac_coords": [[0.965, 0.750, 0.415], [0.035, 0.250, 0.585], [0.106, 0.250, 0.935], [0.132, 0.250, 0.309], [0.868, 0.750, 0.691], [0.894, 0.750, 0.065], [0.410, 0.750, 0.735], [0.590, 0.250, 0.265]]}

(2)
{"formula": "Ge2TeAsP", "functional": "GGA-PBE", "state": "relaxed", "magnetic_moment_mub_per_cell": 0.00, "formation_energy_uncorrected_ev_per_atom": 0.53, "dft_energy_ha_per_atom": -0.1454, "spacegroup": "P4/mmm", "cell": [[-2.544, 0.873, 4.258], [-3.098, -3.260, -1.183], [2.763, -3.484, 2.365]], "species": ["Te", "Ge", "Ge", "As", "P"], "frac_coords": [[0.500, 0.500, 0.500], [0.500, 0.000, 0.000], [0.000, 0.000, 0.500], [0.000, 0.500, 0.000], [0.000, 0.000, 0.000]]}

(3)
{"formula": "La2IN", "functional": "GGA-PBE", "state": "relaxed", "magnetic_moment_mub_per_cell": 0.00, "formation_energy_uncorrected_ev_per_atom": -0.29, "dft_energy_ha_per_atom": -0.1921, "spacegroup": "Fm-3m", "cell": [[0.000, 3.638, 3.638], [3.638, 0.000, 3.638], [3.638, 3.638, 0.000]], "species": ["I", "La", "La", "N"], "frac_coords": [[0.500, 0.500, 0.500], [0.750, 0.750, 0.750], [0.250, 0.250, 0.250], [0.000, 0.000, 0.000]]}

(4)
{"formula": "Co2NiIrSe6", "functional": "GGA-PBE", "state": "relaxed", "magnetic_moment_mub_per_cell": 0.00, "formation_energy_uncorrected_ev_per_atom": -0.22, "dft_energy_ha_per_atom": -0.1911, "spacegroup": "C2/c", "cell": [[-5.924, 0.145, 2.004], [-4.173, -1.201, -6.570], [-1.046, -7.160, 3.109]], "species": ["Co", "Co", "Co", "Co", "Se", "Se", "Se", "Se", "Se", "Se", "Se", "Se", "Se", "Se", "Se", "Se", "Ni", "Ni", "Ir", "Ir"], "frac_coords": [[0.272, 0.710, 0.537], [0.728, 0.290, 0.463], [0.772, 0.537, 0.710], [0.228, 0.463, 0.290], [0.577, 0.505, 0.304], [0.167, 0.945, 0.788], [0.923, 0.696, 0.495], [0.333, 0.212, 0.055], [0.856, 0.366, 0.920], [0.667, 0.788, 0.945], [0.423, 0.495, 0.696], [0.077, 0.304, 0.505], [0.644, 0.080, 0.634], [0.356, 0.920, 0.366], [0.144, 0.634, 0.080], [0.833, 0.055, 0.212], [0.250, 0.235, 0.765], [0.750, 0.765, 0.235], [0.250, 0.914, 0.086], [0.750, 0.086, 0.914]]}

(5)
{"formula": "La2Pr8Ho3", "functional": "GGA-PBE", "state": "relaxed", "magnetic_moment_mub_per_cell": 0.00, "formation_energy_mev_per_atom": 154, "dft_energy_ha_per_atom": -0.1691, "spacegroup": "C2/m", "cell": [[6.152, 0.748, 0.444], [-0.836, 10.381, -5.886], [2.395, -1.868, 8.522]], "species": ["Pr", "Pr", "Pr", "Pr", "Pr", "Pr", "Pr", "Pr", "La", "La", "Ho", "Ho", "Ho"], "frac_coords": [[0.343, 0.922, 0.323], [0.765, 0.415, 0.830], [0.895, 0.138, 0.276], [0.105, 0.862, 0.724], [0.235, 0.585, 0.170], [0.657, 0.078, 0.677], [0.657, 0.599, 0.677], [0.343, 0.401, 0.323], [0.343, 0.310, 0.620], [0.657, 0.690, 0.380], [0.500, 0.000, 0.000], [0.000, 0.262, 0.000], [0.000, 0.738, 0.000]]}

(6)
{"formula": "K2Tl2Bi", "functional": "GGA-PBE", "state": "relaxed", "magnetic_moment_mub_per_cell": 0.00, "relative_energy_mev_per_atom": 51, "formation_energy_mev_per_atom": -165, "dft_energy_ha_per_atom": -0.0855, "spacegroup": "P4/mbm", "cell": [[-6.040, 4.343, 3.843], [3.255, -2.053, 7.437], [3.216, 4.596, -0.139]], "species": ["Tl", "Tl", "Tl", "Tl", "Bi", "Bi", "K", "K", "K", "K"], "frac_coords": [[0.870, 0.630, 0.000], [0.130, 0.370, 0.000], [0.630, 0.130, 0.000], [0.370, 0.870, 0.000], [0.500, 0.500, 0.000], [0.000, 0.000, 0.000], [0.683, 0.817, 0.500], [0.183, 0.683, 0.500], [0.317, 0.183, 0.500], [0.817, 0.317, 0.500]]}

(7)
{"formula": "La2CuW", "functional": "GGA-PBE", "state": "relaxed", "magnetic_moment_mub_per_cell": 0.00, "relative_energy_mev_per_atom": 246, "formation_energy_mev_per_atom": 603, "dft_energy_ha_per_atom": -0.2250, "spacegroup": "C2/m", "cell": [[-2.940, -0.644, -2.166], [-1.928, -3.114, -0.586], [-6.077, 1.818, 6.736]], "species": ["W", "La", "La", "Cu"], "frac_coords": [[0.750, 0.750, 0.750], [0.507, 0.507, 0.500], [0.993, 0.993, 0.000], [0.250, 0.250, 0.250]]}

(8)
{"formula": "TbBeTe", "functional": "GGA-PBE", "state": "relaxed", "magnetic_moment_mub_per_cell": 0.00, "formation_energy_uncorrected_ev_per_atom": -0.53, "dft_energy_ha_per_atom": -0.1605, "spacegroup": "C2/m", "cell": [[4.445, 0.000, 0.000], [2.222, 3.818, 0.495], [2.222, 2.835, 10.484]], "species": ["Tb", "Tb", "Be", "Be", "Te", "Te"], "frac_coords": [[0.007, 0.320, 0.666], [0.993, 0.680, 0.334], [0.668, 0.147, 0.518], [0.332, 0.853, 0.482], [0.321, 0.173, 0.186], [0.679, 0.827, 0.814]]}

(9)
{"formula": "SmErTh2Sb5", "functional": "GGA-PBE", "state": "relaxed", "magnetic_moment_mub_per_cell": 0.00, "formation_energy_uncorrected_ev_per_atom": -0.23, "dft_energy_ha_per_atom": -0.1910, "spacegroup": "P4/mmm", "cell": [[5.232, 0.000, 0.000], [0.000, 5.232, 0.000], [0.000, 0.000, 11.556]], "species": ["Th", "Th", "Sm", "Sb", "Sb", "Sb", "Sb", "Sb", "Er"], "frac_coords": [[0.500, 0.500, 0.300], [0.500, 0.500, 0.700], [0.000, 0.000, 0.000], [0.500, 0.500, 0.000], [0.000, 0.000, 0.750], [0.500, 0.000, 0.500], [0.000, 0.000, 0.250], [0.000, 0.500, 0.500], [0.000, 0.000, 0.500]]}

(10)
{"formula": "YPbSe2O8", "functional": "GGA-PBE", "state": "relaxed", "magnetic_moment_mub_per_cell": 0.00, "formation_energy_uncorrected_ev_per_atom": -1.30, "dft_energy_ha_per_atom": -0.2217, "spacegroup": "C2/m", "cell": [[-0.811, -2.786, -4.520], [-3.702, -3.828, 0.705], [-5.584, 5.002, -2.093]], "species": ["O", "O", "O", "O", "O", "O", "O", "O", "Se", "Se", "Y", "Pb"], "frac_coords": [[0.723, 0.212, 0.776], [0.280, 0.280, 0.576], [0.247, 0.247, 0.935], [0.753, 0.753, 0.065], [0.277, 0.788, 0.224], [0.212, 0.723, 0.776], [0.720, 0.720, 0.424], [0.788, 0.277, 0.224], [0.632, 0.632, 0.234], [0.368, 0.368, 0.766], [0.000, 0.000, 0.000], [0.000, 0.000, 0.500]]}

(11)
{"formula": "Fe3NiRh", "functional": "GGA-PBE", "state": "relaxed", "magnetic_moment_mub_per_cell": 10.96, "relative_energy_mev_per_atom": 1337, "formation_energy_mev_per_atom": 1440, "dft_energy_ha_per_atom": -0.2302, "spacegroup": "Pm-3m", "cell": [[4.562, 0.000, 0.000], [0.000, 4.562, 0.000], [0.000, 0.000, 4.562]], "species": ["Ni", "Fe", "Fe", "Fe", "Rh"], "frac_coords": [[0.500, 0.500, 0.500], [0.000, 0.000, 0.500], [0.500, 0.000, 0.000], [0.000, 0.500, 0.000], [0.000, 0.000, 0.000]]}

(12)
{"formula": "SnBi3Ru", "functional": "GGA-PBE", "state": "relaxed", "magnetic_moment_mub_per_cell": 0.00, "relative_energy_mev_per_atom": 0, "formation_energy_mev_per_atom": 445, "dft_energy_ha_per_atom": -0.1668, "spacegroup": "Pm-3m", "cell": [[-0.482, 4.810, -2.247], [-5.111, 0.190, 1.502], [1.436, 2.290, 4.594]], "species": ["Bi", "Bi", "Bi", "Sn", "Ru"], "frac_coords": [[0.000, 0.000, 0.500], [0.000, 0.500, 0.000], [0.500, 0.000, 0.000], [0.500, 0.500, 0.500], [0.000, 0.000, 0.000]]}